ZrBe2As | PBE-GGA | relaxed

extended XYZ file:
```
4
Lattice="3.0198 0.0000 0.0000 0.0000 3.3255 0.0000 0.0000 0.0000 5.7494" Properties=species:S:1:pos:R:3 pbc="T T T"
Zr 0.0000 0.0000 0.0000
Be 0.0000 0.0000 3.0225
Be 1.5099 1.6628 3.9758
As 1.5099 1.6628 1.7319
```

Properties
Formation enthalpy at 0 K = -0.03 eV per atom
Uncorrected energy = -20.8 eV for the cell shown